## P
The following is a DFT calculation (PBEsol) of an optimized crystal structure of YNiRu2.

Calculated values
Its total moment is 0.0 μB/f.u. The value obtained for the calculated volume is 63 Å³/cell.

Lattice parameters (Å, degrees): 3.079 3.079 6.604 90.00 90.00 90.00
Space group P4mm (No. 99)
Asymmetric unit:
1 Y 0.000 0.000 0.000 [1 per cell]
2 Ni 0.500 0.500 0.289 [1 per cell]
3 Ru 0.000 0.000 0.477 [1 per cell]
4 Ru 0.500 0.500 0.689 [1 per cell]

## Q
The following is a DFT calculation (PBEsol) of an optimized crystal structure of YNiRu2.

Calculated values
Its total moment is 0.0 μB/f.u. The value obtained for the calculated volume is 62 Å³/cell.

Lattice parameters (Å, degrees): 3.133 3.133 6.317 90.00 90.00 90.00
Space group P4/mmm (No. 123)
Asymmetric unit:
1 Y 0.000 0.000 0.000 [1 per cell]
2 Ni 0.000 0.000 0.500 [1 per cell]
3 Ru 0.500 0.500 0.302 [2 per cell]

Quick ranking, most stable first: P, Q.